# 1
Below is a relaxed structure of TbPrDy2Ho5, with properties calculated at the GGA-PBE level.

Calculated values
Crystal system: tetragonal
DFT formation energy: 0.2863 eV per atom

The structure in POSCAR format:
```
TbPrDy2Ho5
1.0
-5.287 5.876 4.178
1.817 -3.928 7.823
7.443 3.504 -5.077
Tb Pr Dy Ho
2 2 4 10
direct
0.250 0.750 0.500 Tb
0.750 0.250 0.500 Tb
0.250 0.250 0.500 Pr
0.750 0.750 0.500 Pr
0.113 0.387 0.000 Dy
0.613 0.113 0.000 Dy
0.387 0.887 0.000 Dy
0.887 0.613 0.000 Dy
0.927 0.427 0.263 Ho
0.663 0.163 0.737 Ho
0.073 0.573 0.737 Ho
0.163 0.073 0.737 Ho
0.573 0.663 0.737 Ho
0.837 0.927 0.263 Ho
0.427 0.337 0.263 Ho
0.337 0.837 0.263 Ho
0.500 0.500 0.000 Ho
0.000 0.000 0.000 Ho
```

---

# 2
Below is a relaxed structure of LiLa2MgSc, with properties calculated at the GGA-PBE level.

Calculated values
Crystal system: tetragonal
DFT formation energy: 0.5948 eV per atom

The structure in POSCAR format:
```
LiLa2MgSc
1.0
5.997 0.000 0.000
0.000 4.670 0.000
0.000 0.000 5.997
Sc Mg Li La
1 1 1 2
direct
0.500 0.500 0.500 Sc
0.000 0.000 0.000 Mg
0.000 0.500 0.000 Li
0.000 0.000 0.500 La
0.500 0.000 0.000 La
```

---

# 3
Below is a relaxed structure of AcThHg2, with properties calculated at the GGA-PBE level.

Calculated values
Crystal system: tetragonal
DFT formation energy: -0.3086 eV per atom

The structure in POSCAR format:
```
AcThHg2
1.0
3.920 0.000 0.000
0.000 3.920 0.000
0.000 0.000 7.915
Ac Hg Th
1 2 1
direct
0.500 0.500 0.500 Ac
0.000 0.000 0.769 Hg
0.000 0.000 0.231 Hg
0.500 0.500 0.000 Th
```

---

What is the DFT formation energy in the third record?
-0.3086 eV per atom

---

What is the DFT formation energy in the first record?
0.2863 eV per atom

---

Please write out number 2 again, unchanged.
Below is a relaxed structure of LiLa2MgSc, with properties calculated at the GGA-PBE level.

Calculated values
Crystal system: tetragonal
DFT formation energy: 0.5948 eV per atom

The structure in POSCAR format:
```
LiLa2MgSc
1.0
5.997 0.000 0.000
0.000 4.670 0.000
0.000 0.000 5.997
Sc Mg Li La
1 1 1 2
direct
0.500 0.500 0.500 Sc
0.000 0.000 0.000 Mg
0.000 0.500 0.000 Li
0.000 0.000 0.500 La
0.500 0.000 0.000 La
```